1.
Compound: HfPdPb2W
Source: Alexandria
Functional: PBE
Structure: optimized geometry

Unit cell a=5.3387 b=5.3387 c=4.9720 alpha=90.00 beta=90.00 gamma=90.00
Sites, in units of the cell vectors:
Hf1 0.0000 0.0000 0.0000
Pd1 0.5000 0.5000 0.0000
Pb1 0.0000 0.5000 0.5000
Pb2 0.5000 0.0000 0.5000
W1 0.0000 0.0000 0.5000

Output
energy of formation from the pure elements = 948 meV per atom
VASP energy = -6.1553 eV/atom
density = 10.3 g/cm3
DOS(E_F) = 3.226 states/eV/cell

=====

2.
Compound: HfPd2PbW
Source: Alexandria
Functional: PBE
Structure: optimized geometry

Unit cell a=4.8229 b=4.8229 c=5.4523 alpha=90.00 beta=90.00 gamma=90.00
Sites, in units of the cell vectors:
Hf1 0.0000 0.0000 0.0000
Pd1 0.0000 0.5000 0.0000
Pd2 0.5000 0.0000 0.0000
Pb1 0.0000 0.0000 0.5000
W1 0.5000 0.5000 0.5000

Output
energy of formation from the pure elements = 1532 meV per atom
VASP energy = -5.8682 eV/atom
density = 10.2 g/cm3
DOS(E_F) = 3.682 states/eV/cell

=====

3.
Compound: HfZn2PdPb
Source: Alexandria
Functional: PBE
Structure: optimized geometry

Unit cell a=4.8996 b=4.8996 c=5.5762 alpha=90.00 beta=90.00 gamma=90.00
Sites, in units of the cell vectors:
Hf1 0.0000 0.0000 0.0000
Zn1 0.0000 0.5000 0.5000
Zn2 0.5000 0.0000 0.5000
Pd1 0.5000 0.5000 0.0000
Pb1 0.0000 0.0000 0.5000

Output
energy of formation from the pure elements = 1102 meV per atom
VASP energy = -3.1784 eV/atom
density = 7.7 g/cm3
DOS(E_F) = 3.665 states/eV/cell